(1)
This record from Alexandria describes crystalline CaPW2 at its relaxed geometry. The functional is PBE.

Cell lengths 2.732, 4.865, 5.394 Å; angles 90.00, 90.00, 90.00 degrees
Fractional coordinates of all 4 atoms:
1 Ca 0.000 0.000 0.000
2 P 0.000 0.000 0.500
3 W 0.500 0.500 0.257
4 W 0.500 0.500 0.743

Calculated values
Formation energy   0.9042 eV/atom
E above lowest polymorph   0.813 eV/atom



(2)
This record from Alexandria describes crystalline NiRuS3 at its relaxed geometry. The functional is PBE.

Cell lengths 4.314, 4.314, 4.314 Å; angles 90.00, 90.00, 90.00 degrees
Fractional coordinates of all 5 atoms:
1 Ni 0.000 0.000 0.000
2 Ru 0.500 0.500 0.500
3 S 0.000 0.000 0.500
4 S 0.000 0.500 0.000
5 S 0.500 0.000 0.000

Calculated values
Formation energy (no corrections)   0.843 eV per atom



(3)
This record from Alexandria describes crystalline Li2CoSe at its relaxed geometry. The functional is PBE.

Cell lengths 4.843, 4.843, 4.843 Å; angles 48.28, 48.28, 48.28 degrees
Fractional coordinates of all 4 atoms:
1 Li 0.000 0.000 0.000
2 Li 0.223 0.223 0.223
3 Co 0.780 0.780 0.780
4 Se 0.442 0.442 0.442

Calculated values
Formation energy (no corrections)   -0.397 eV per atom